No. 1
A relaxed Ac2NdZn9 crystal. Source: Alexandria, functional PBE.

Lattice parameters (Å, degrees): 5.682 5.682 9.530 72.66 72.66 60.00
Positions (direct):
1 Ac 0.141 0.141 0.578
2 Ac 0.859 0.859 0.422
3 Zn 0.579 0.076 0.767
4 Zn 0.421 0.421 0.233
5 Zn 0.421 0.924 0.233
6 Zn 0.500 0.500 0.500
7 Zn 0.665 0.665 0.004
8 Zn 0.076 0.579 0.767
9 Zn 0.579 0.579 0.767
10 Zn 0.335 0.335 0.996
11 Zn 0.924 0.421 0.233
12 Nd 0.000 0.000 0.000

Properties
Formation enthalpy at 0 K ... -233 meV/atom
SG ... No. 166



No. 2
A relaxed DyMgCdBi crystal. Source: Alexandria, functional PBE.

Lattice parameters (Å, degrees): 5.320 5.320 5.320 60.00 60.00 60.00
Positions (direct):
1 Cd 0.250 0.250 0.250
2 Bi 0.750 0.750 0.750
3 Mg 0.000 0.000 0.000
4 Dy 0.500 0.500 0.500

Properties
Formation enthalpy at 0 K ... -229 meV/atom
SG ... No. 216



No. 3
A relaxed Mn2ReCl crystal. Source: Alexandria, functional PBE.

Lattice parameters (Å, degrees): 2.867 2.867 8.081 90.00 90.00 113.83
Each line ends with the local moment (μB).
Positions (direct):
1 Re 0.500 0.500 0.250  -0.49
2 Mn 0.000 0.000 0.002  3.35
3 Mn 0.000 0.000 0.498  3.35
4 Cl 0.500 0.500 0.750  0.09

Properties
Energy relative to the elements, uncorrected ... 0.23 eV per atom
Excess energy over the best structure of this formula in the dataset ... 134 meV/atom
SG ... No. 65



No. 4
A relaxed In3Hg2Bi2 crystal. Source: Alexandria, functional PBE.

Lattice parameters (Å, degrees): 3.398 8.960 7.640 113.79 102.85 90.00
Positions (direct):
1 Hg 0.845 0.639 0.690
2 Hg 0.155 0.361 0.310
3 Bi 0.562 0.885 0.124
4 Bi 0.438 0.115 0.876
5 In 0.000 0.500 0.000
6 In 0.230 0.802 0.459
7 In 0.770 0.198 0.541

Properties
Excess energy over the best structure of this formula in the dataset ... 0 meV/atom
Formation enthalpy at 0 K ... 31 meV/atom
SG ... No. 12